Density functional theory data (PBE-GGA) for a relaxed structure of Ca2ReTe.

```
Ca2ReTe
1.0
4.8029 0.0000 0.0000
0.0000 4.8029 0.0000
0.0000 0.0000 4.0866
Ca Re Te
2 1 1
Direct
0.0000 0.5000 0.0000
0.5000 0.0000 0.0000
0.0000 0.0000 0.5000
0.5000 0.5000 0.5000
```

ρ   6.9 Mg/m³
ΔE_f (raw)   221 meV/atom
M_tot   0.29 Bohr magnetons per cell
Crystal system   tetragonal